1.
Entry from Alexandria via LeMat-Bulk: an optimized crystal structure of TcMoPb2 (PBE-GGA).

Energy of formation: 910 meV/atom
Offset from the most stable computed form: 0.644 eV/atom

a = 4.508 Å, b = 3.146 Å, c = 5.756 Å
α = 86.27°, β = 90.00°, γ = 90.00°
Atoms (fractional coordinates):
Mo: 0.500 0.750 0.750
Pb: 0.000 0.015 0.003
Pb: 0.000 0.485 0.497
Tc: 0.500 0.250 0.250

=====

2.
Entry from Alexandria via LeMat-Bulk: an optimized crystal structure of TcMoPb2 (PBE-GGA).

Energy of formation: 914 meV/atom
Offset from the most stable computed form: 0.648 eV/atom

a = 3.168 Å, b = 3.168 Å, c = 9.038 Å
α = 90.00°, β = 90.00°, γ = 116.31°
Atoms (fractional coordinates):
Mo: 0.500 0.500 0.750
Pb: 0.000 0.000 0.005
Pb: 0.000 0.000 0.495
Tc: 0.500 0.500 0.250

=====

3.
Entry from Alexandria via LeMat-Bulk: an optimized crystal structure of TcMoPb2 (PBE-GGA).

Energy of formation: 266 meV/atom
Offset from the most stable computed form: 0.000 eV/atom

a = 3.207 Å, b = 3.207 Å, c = 8.696 Å
α = 90.00°, β = 90.00°, γ = 90.00°
Atoms (fractional coordinates):
Mo: 0.500 0.500 0.697
Pb: 0.000 0.000 0.945
Pb: 0.500 0.500 0.309
Tc: 0.000 0.000 0.550

=====

4.
Entry from Alexandria via LeMat-Bulk: an optimized crystal structure of TcMoPb2 (PBE-GGA).

Energy of formation: 822 meV/atom
Offset from the most stable computed form: 0.556 eV/atom

a = 4.803 Å, b = 4.803 Å, c = 3.384 Å
α = 90.00°, β = 90.00°, γ = 89.99°
Atoms (fractional coordinates):
Mo: 0.000 0.500 0.500
Pb: 0.000 0.000 0.000
Pb: 0.500 0.500 0.000
Tc: 0.500 0.000 0.500

=====

5.
Entry from Alexandria via LeMat-Bulk: an optimized crystal structure of TcMoPb2 (PBE-GGA).

Energy of formation: 1227 meV/atom
Offset from the most stable computed form: 0.960 eV/atom

a = 7.786 Å, b = 7.786 Å, c = 6.253 Å
α = 51.49°, β = 51.49°, γ = 90.00°
Atoms (fractional coordinates):
Pb: 0.633 0.125 0.250
Pb: 0.117 0.625 0.250
Pb: 0.375 0.367 0.750
Pb: 0.875 0.883 0.750
Mo: 0.500 0.500 0.000
Mo: 0.250 0.750 0.500
Tc: 0.000 0.000 0.000
Tc: 0.750 0.250 0.500

=====

6.
Entry from Alexandria via LeMat-Bulk: an optimized crystal structure of Te2MoPb (PBE-GGA).

Formation energy from raw total energies: 146 kJ/mol of formula units

a = 3.285 Å, b = 3.285 Å, c = 10.687 Å
α = 90.00°, β = 90.00°, γ = 115.15°
Atoms (fractional coordinates):
Mo: 0.500 0.500 0.250
Pb: 0.500 0.500 0.750
Te: 0.000 0.000 0.052
Te: 0.000 0.000 0.448

=====

> Which formula does entry 1 have?

TcMoPb2